No. 1
Below is a relaxed structure of NbSnPb2, with properties calculated at the PBE level.

Cell: 6.6672 6.6672 13.4127 Å, 90.00 90.00 90.00°
Space group I-42d (No. 122)
Asymmetric unit:
Nb  0.0000  0.0000  0.0000 (multiplicity 4)
Sn  0.0000  0.0000  0.5000 (multiplicity 4)
Pb  0.2198  0.2500  0.1250 (multiplicity 8)



No. 2
Below is a relaxed structure of Nb2SnPb, with properties calculated at the PBE level.

Cell: 6.9087 6.9087 6.9087 Å, 90.00 90.00 90.00°
Space group Fm-3m (No. 225)
Asymmetric unit:
Nb  0.2500  0.2500  0.2500 (multiplicity 8)
Sn  0.0000  0.0000  0.0000 (multiplicity 4)
Pb  0.0000  0.0000  0.5000 (multiplicity 4)

Results
E above lowest polymorph = 0.0000 eV per atom



No. 3
Below is a relaxed structure of Nb3SnPb, with properties calculated at the PBE level.

Cell: 5.0835 5.0835 5.0835 Å, 90.00 90.00 90.00°
Space group Pm-3m (No. 221)
Asymmetric unit:
Nb  0.0000  0.0000  0.5000 (multiplicity 3)
Sn  0.0000  0.0000  0.0000 (multiplicity 1)
Pb  0.5000  0.5000  0.5000 (multiplicity 1)

Results
E above lowest polymorph = 0.0000 eV per atom



No. 4
Below is a relaxed structure of NbSnPb3, with properties calculated at the PBE level.

Cell: 5.5347 5.5347 5.5347 Å, 90.00 90.00 90.00°
Space group Pm-3m (No. 221)
Asymmetric unit:
Nb  0.0000  0.0000  0.0000 (multiplicity 1)
Sn  0.5000  0.5000  0.5000 (multiplicity 1)
Pb  0.0000  0.0000  0.5000 (multiplicity 3)

Results
E above lowest polymorph = 0.0000 eV per atom



No. 5
Below is a relaxed structure of NbSn2Pb, with properties calculated at the PBE level.

Cell: 3.2548 3.2548 33.3509 Å, 90.00 90.00 120.00°
Space group R-3m (No. 166, hexagonal axes)
Asymmetric unit:
Nb  0.0000  0.0000  0.0000 (multiplicity 3)
Sn  0.0000  0.0000  0.4034 (multiplicity 6)
Pb  0.0000  0.0000  0.5000 (multiplicity 3)

Results
E above lowest polymorph = 0.0000 eV per atom



No. 6
Below is a relaxed structure of Nb2SnPb, with properties calculated at the PBE level.

Cell: 7.7292 7.7292 6.1072 Å, 90.00 90.00 90.00°
Space group I-42d (No. 122)
Asymmetric unit:
Nb  0.2418  0.2500  0.1250 (multiplicity 8)
Sn  0.0000  0.0000  0.0000 (multiplicity 4)
Pb  0.0000  0.0000  0.5000 (multiplicity 4)

Results
E above lowest polymorph = 0.3069 eV per atom



Respective magnetization values: 0.0 0.0 0.0 0.0 0.0 0.0 μB/f.u..
Respective ΔH_f (0 K) values: 0.918 0.307 1.462 0.551 0.082 0.614 eV/atom.